Here is TbAg2I6 after structural relaxation from the Alexandria database. Energies are from PBE.

Results
- Magnetic moment: 0.001 Bohr magnetons per cell
- Calculated volume: 45.73 Å³ per atom
- E_form (uncorrected): -630 meV per atom
- Total DFT energy (no corrections): -2.812 eV/atom

Cell lengths 15.1022, 14.0573, 8.2039 Å; angles 90.00, 109.05, 90.00 degrees
Space group C2/c (No. 15)
Unique sites:
Tb  0.0000  0.0891  0.2500 x4
Ag  0.1950  0.4059  0.2645 x8
I  0.1030  0.0875  0.6470 x8
I  0.1053  0.4833  0.9370 x8
I  0.1565  0.2048  0.2197 x8

Here is Tb2AgI8 after structural relaxation from the Alexandria database. Energies are from PBE.

Results
- Magnetic moment: 0.000 Bohr magnetons per cell
- Calculated volume: 59.28 Å³ per atom
- E_form (uncorrected): -900 meV per atom
- Total DFT energy (no corrections): -3.129 eV/atom

Cell lengths 16.6796, 7.5073, 10.8412 Å; angles 90.00, 106.12, 90.00 degrees
Space group C2/m (No. 12)
Unique sites:
Tb  0.2245  0.0000  0.3159 x4
Ag  0.0000  0.0000  0.0000 x2
I  0.1089  0.2576  0.1416 x8
I  0.1154  0.5000  0.7254 x4
I  0.2108  0.0000  0.5799 x4